No. 1
! TlSnAs2 GGA-PBE optimized geometry; values from VASP
! - ΔE_f: 0.068 eV per atom
! - SG: I-42d (122)
! - Electronic total energy: -3.849 eV/atom
&SYSTEM
  ibrav = 0, nat = 8, ntyp = 3
/
ATOMIC_SPECIES
As 74.92 As.upf
Tl 204.38 Tl.upf
Sn 118.71 Sn.upf
ATOMIC_POSITIONS crystal
As 0.6068 0.1250 0.2500
As 0.1432 0.6250 0.2500
As 0.3750 0.3932 0.7500
As 0.8750 0.8568 0.7500
Tl 0.0000 0.0000 0.0000
Tl 0.7500 0.2500 0.5000
Sn 0.5000 0.5000 0.0000
Sn 0.2500 0.7500 0.5000
CELL_PARAMETERS angstrom
-3.7714 -4.2771 -3.0850
1.6044 -4.5435 4.3378
-5.9671 -2.6994 4.2247

---

No. 2
! TlSnAs GGA-PBE optimized geometry; values from VASP
! - ΔE_f: -0.058 eV per atom
! - SG: C2/m (12)
! - Electronic total energy: -3.731 eV/atom
&SYSTEM
  ibrav = 0, nat = 6, ntyp = 3
/
ATOMIC_SPECIES
Tl 204.38 Tl.upf
Sn 118.71 Sn.upf
As 74.92 As.upf
ATOMIC_POSITIONS crystal
Tl 0.1573 0.5567 0.6056
Tl 0.5553 0.7609 0.8277
Sn 0.7212 0.4292 0.3151
Sn 0.9915 0.8882 0.1181
As 0.4307 0.0098 0.4356
As 0.2819 0.3077 0.9976
CELL_PARAMETERS angstrom
-2.6034 0.6933 3.1204
-2.7247 -2.9110 1.0966
6.8323 -6.7902 7.2104

---

No. 3
! TlSnAs GGA-PBE optimized geometry; values from VASP
! - ΔE_f: -0.058 eV per atom
! - SG: P3m1 (156)
! - Electronic total energy: -3.731 eV/atom
&SYSTEM
  ibrav = 0, nat = 3, ntyp = 3
/
ATOMIC_SPECIES
As 74.92 As.upf
Tl 204.38 Tl.upf
Sn 118.71 Sn.upf
ATOMIC_POSITIONS crystal
As 0.6667 0.3333 0.3734
Tl 0.0000 0.0000 0.0221
Sn 0.3333 0.6667 0.6045
CELL_PARAMETERS angstrom
4.1043 0.0000 0.0000
-2.0522 3.5545 0.0000
0.0000 0.0000 6.0402

---

| no. | ΔE to the lowest computed polymorph (meV/atom) |
| --- | --- |
| 1 | 24 |
| 2 | 14 |
| 3 | 14 |